#P
# AgPd6Pb3

A relaxed AgPd6Pb3 crystal (GGA-PBE, the Alexandria database).

Cell: 4.9788 8.8881 8.8881 Å, 99.61 90.00 90.00°
Closest atoms and distances in Å follow each position.
Atoms (fractional coordinates):
Pd (0.6948, 0.0494, 0.9506)  3 Ag 2.72-3.02, 2 Pb 2.75, 3 Pd 2.83-2.87
Pd (0.1948, 0.9506, 0.0494)  3 Ag 2.72-3.02, 2 Pb 2.75, 3 Pd 2.83-2.87
Ag (0.1595, 0.1548, 0.8452)  7 Pd 2.72-3.02, 3 Pb 2.92
Pd (0.9324, 0.9910, 0.5808)  1 Ag 2.79, 3 Pb 2.79-2.99, 4 Pd 2.81-2.94
Pb (0.1043, 0.3692, 0.6308)  5 Pd 2.73-2.92, 1 Ag 2.92
Pd (0.1431, 0.7400, 0.2600)  1 Pb 2.73, 2 Ag 2.80-2.94, 5 Pd 2.87-2.94
Pd (0.0536, 0.6805, 0.5679)  5 Pd 2.81-2.92, 4 Pb 2.82-2.92
Ag (0.6595, 0.8452, 0.1548)  7 Pd 2.72-3.02, 3 Pb 2.92
Pd (0.4324, 0.5808, 0.9910)  1 Ag 2.79, 3 Pb 2.79-2.99, 4 Pd 2.81-2.94
Pd (0.5536, 0.5679, 0.6805)  5 Pd 2.81-2.92, 4 Pb 2.82-2.92
Pb (0.9559, 0.6944, 0.8877)  6 Pd 2.75-2.99, 1 Ag 2.92
Pb (0.4559, 0.8877, 0.6944)  6 Pd 2.75-2.99, 1 Ag 2.92
Pd (0.6431, 0.2600, 0.7400)  1 Pb 2.73, 2 Ag 2.80-2.94, 5 Pd 2.87-2.94
Pd (0.9324, 0.4192, 0.0090)  1 Ag 2.79, 3 Pb 2.79-2.99, 4 Pd 2.81-2.94
Pd (0.4324, 0.0090, 0.4192)  1 Ag 2.79, 3 Pb 2.79-2.99, 4 Pd 2.81-2.94
Pd (0.5536, 0.3195, 0.4321)  5 Pd 2.81-2.92, 4 Pb 2.82-2.92
Pb (0.4559, 0.3056, 0.1123)  6 Pd 2.75-2.99, 1 Ag 2.92
Pb (0.9559, 0.1123, 0.3056)  6 Pd 2.75-2.99, 1 Ag 2.92
Pb (0.6043, 0.6308, 0.3692)  5 Pd 2.73-2.92, 1 Ag 2.92
Pd (0.0536, 0.4321, 0.3195)  5 Pd 2.81-2.92, 4 Pb 2.82-2.92

Summary:
Its space group is Cmc2_1, No. 36. For the size of the total moment, the calculation gives 0.000 Bohr magnetons per cell.

***

#Q
# AgPd6Pb3

A relaxed AgPd6Pb3 crystal (GGA-PBE, the Alexandria database).

Cell: 4.7589 8.2433 10.6983 Å, 117.40 90.00 90.00°
Closest atoms and distances in Å follow each position.
Atoms (fractional coordinates):
Pb (0.7500, 0.6747, 0.2269)  7 Pd 2.83-2.96, 1 Ag 2.91
Pd (0.7500, 0.1122, 0.7335)  3 Pb 2.87, 5 Pd 2.88-3.15, 3 Ag 2.90-2.96
Pd (0.7500, 0.7365, 0.5198)  3 Ag 2.86-3.07, 5 Pd 2.88-3.10, 4 Pb 2.92-2.93
Pd (0.2500, 0.6838, 0.6675)  6 Pd 2.80-3.10, 4 Pb 2.81-2.96, 1 Ag 2.92
Pd (0.2500, 0.1646, 0.1694)  4 Pb 2.80-2.95, 8 Pd 2.87-3.05
Pd (0.7500, 0.3162, 0.3325)  6 Pd 2.80-3.10, 4 Pb 2.81-2.96, 1 Ag 2.92
Pb (0.7500, 0.4679, 0.6273)  8 Pd 2.80-2.96, 1 Ag 3.06
Pd (0.7500, 0.5387, 0.9253)  6 Pb 2.89-3.00, 5 Pd 3.05-3.15
Pd (0.2500, 0.0534, 0.8646)  7 Pd 2.80-3.07, 4 Pb 2.83-2.94, 1 Ag 3.00
Pb (0.2500, 0.7815, 0.9706)  10 Pd 2.87-3.00
Pd (0.2500, 0.8878, 0.2665)  3 Pb 2.87, 5 Pd 2.88-3.15, 3 Ag 2.90-2.96
Pb (0.2500, 0.3253, 0.7731)  7 Pd 2.83-2.96, 1 Ag 2.91
Pd (0.2500, 0.4613, 0.0747)  6 Pb 2.89-3.00, 5 Pd 3.05-3.15
Pb (0.7500, 0.2185, 0.0294)  10 Pd 2.87-3.00
Ag (0.7500, 0.0533, 0.4443)  8 Pd 2.86-3.07, 2 Pb 2.91-3.06, 2 Ag 2.97
Pb (0.2500, 0.5321, 0.3727)  8 Pd 2.80-2.96, 1 Ag 3.06
Pd (0.2500, 0.2635, 0.4802)  3 Ag 2.86-3.07, 5 Pd 2.88-3.10, 4 Pb 2.92-2.93
Ag (0.2500, 0.9467, 0.5557)  8 Pd 2.86-3.07, 2 Pb 2.91-3.06, 2 Ag 2.97
Pd (0.7500, 0.8354, 0.8306)  4 Pb 2.80-2.95, 8 Pd 2.87-3.05
Pd (0.7500, 0.9466, 0.1354)  7 Pd 2.80-3.07, 4 Pb 2.83-2.94, 1 Ag 3.00

Summary:
Its space group is P2_1/m, No. 11. For the size of the total moment, the calculation gives 0.000 Bohr magnetons per cell.

***

Order of stability, best first: #Q, #P

***

#P
# Ag2Pd6Pb

A relaxed Ag2Pd6Pb crystal (GGA-PBE, the Alexandria database).

Cell: 2.8979 7.7468 8.2023 Å, 118.18 100.33 90.00°
Closest atoms and distances in Å follow each position.
Atoms (fractional coordinates):
Pd (0.8266, 0.0210, 0.6650)  3 Ag 2.76-2.82, 1 Pb 2.79, 7 Pd 2.89-2.95
Pb (0.0000, 0.0000, 0.0000)  8 Pd 2.79-2.84, 2 Pb 2.90
Pd (0.8266, 0.6440, 0.6650)  3 Ag 2.76-2.82, 1 Pb 2.79, 7 Pd 2.89-2.95
Ag (0.6784, 0.6673, 0.3346)  8 Pd 2.76-2.82, 2 Ag 2.90
Pd (0.5000, 0.6850, 0.0000)  2 Ag 2.77, 2 Pb 2.84, 7 Pd 2.87-2.95
Ag (0.3216, 0.3327, 0.6654)  8 Pd 2.76-2.82, 2 Ag 2.90
Pd (0.1734, 0.3560, 0.3350)  3 Ag 2.76-2.82, 1 Pb 2.79, 7 Pd 2.89-2.95
Pd (0.1734, 0.9790, 0.3350)  3 Ag 2.76-2.82, 1 Pb 2.79, 7 Pd 2.89-2.95
Pd (0.5000, 0.3150, 0.0000)  2 Ag 2.77, 2 Pb 2.84, 7 Pd 2.87-2.95

Summary:
Its space group is C2/m, No. 12. For the size of the total moment, the calculation gives 0.000 Bohr magnetons per cell.

***

#Q
# Ag2Pd6Pb

A relaxed Ag2Pd6Pb crystal (GGA-PBE, the Alexandria database).

Cell: 4.7589 4.5036 8.4218 Å, 95.77 89.99 121.90°
Closest atoms and distances in Å follow each position.
Atoms (fractional coordinates):
Ag (0.6580, 0.3160, 0.2643)  9 Pd 2.71-2.91
Pd (0.9929, 0.9859, 0.1627)  6 Pd 2.76-3.01, 3 Ag 2.78-2.79, 1 Pb 2.83
Pd (0.3282, 0.6565, 0.3890)  3 Pb 2.78-2.82, 3 Pd 2.80-3.04, 4 Ag 2.84-2.91
Pd (0.6716, 0.3433, 0.9439)  2 Ag 2.71-2.89, 8 Pd 2.78-2.89
Pd (0.0071, 0.0141, 0.8373)  6 Pd 2.76-3.01, 3 Ag 2.78-2.79, 1 Pb 2.83
Pb (0.0000, 0.0000, 0.5000)  8 Pd 2.78-2.83, 2 Ag 3.09
Pd (0.6718, 0.3435, 0.6110)  3 Pb 2.78-2.82, 3 Pd 2.80-3.04, 4 Ag 2.84-2.91
Pd (0.3284, 0.6567, 0.0561)  2 Ag 2.71-2.89, 8 Pd 2.78-2.89
Ag (0.3420, 0.6840, 0.7357)  9 Pd 2.71-2.91

Summary:
Its space group is C2/m, No. 12. For the size of the total moment, the calculation gives 0.000 Bohr magnetons per cell.

***

Order of stability, best first: #Q, #P

***

#P
# Pm3AgPb3

A relaxed Pm3AgPb3 crystal (GGA-PBE, the Alexandria database).

Cell: 6.9875 6.9875 8.8391 Å, 94.39 94.39 104.72°
Closest atoms and distances in Å follow each position.
Atoms (fractional coordinates):
Pb (0.0531, 0.0531, 0.7927)  1 Ag 2.95, 3 Pm 3.21-3.26
Pm (0.6096, 0.6096, 0.3332)  3 Pb 3.21-3.38, 2 Ag 3.23-3.38
Pb (0.9469, 0.9469, 0.2073)  1 Ag 2.95, 3 Pm 3.21-3.26
Ag (0.3358, 0.3358, 0.0218)  1 Ag 2.88, 3 Pb 2.95-2.99, 2 Pm 3.20
Pm (0.7578, 0.2422, 0.0000)  2 Ag 3.20, 6 Pb 3.27-3.45
Pb (0.1090, 0.4383, 0.2758)  1 Ag 2.99, 3 Pm 3.10-3.27, 1 Pb 3.32
Pm (0.1812, 0.8188, 0.5000)  6 Pb 3.10-3.26
Pb (0.8910, 0.5617, 0.7242)  1 Ag 2.99, 3 Pm 3.10-3.27, 1 Pb 3.32
Pm (0.2422, 0.7578, 0.0000)  2 Ag 3.20, 6 Pb 3.27-3.45
Pm (0.8188, 0.1812, 0.5000)  6 Pb 3.10-3.26
Pb (0.4383, 0.1090, 0.2758)  1 Ag 2.99, 3 Pm 3.10-3.27, 1 Pb 3.32
Pm (0.3904, 0.3904, 0.6668)  3 Pb 3.21-3.38, 2 Ag 3.23-3.38
Pb (0.5617, 0.8910, 0.7242)  1 Ag 2.99, 3 Pm 3.10-3.27, 1 Pb 3.32
Ag (0.6642, 0.6642, 0.9782)  1 Ag 2.88, 3 Pb 2.95-2.99, 2 Pm 3.20

Summary:
Its space group is C2/m, No. 12. For the size of the total moment, the calculation gives 0.000 Bohr magnetons per cell.

***

#Q
# Pm3AgPb3

A relaxed Pm3AgPb3 crystal (GGA-PBE, the Alexandria database).

Cell: 4.7121 6.3802 14.8353 Å, 83.01 80.86 68.33°
Closest atoms and distances in Å follow each position.
Atoms (fractional coordinates):
Pb (0.8674, 0.1898, 0.0755)  2 Pb 3.18-3.26, 5 Pm 3.20-3.27
Pb (0.1403, 0.2678, 0.4516)  3 Ag 2.84-3.03
Pm (0.5967, 0.7287, 0.0778)  5 Pb 3.20-3.28
Ag (0.7723, 0.0714, 0.3840)  4 Pb 2.84-3.03
Pb (0.9912, 0.7869, 0.2306)  1 Ag 2.90, 1 Pb 3.18
Pm (0.7311, 0.7653, 0.7725)  6 Pb 3.27-3.55, 2 Ag 3.38
Pm (0.5308, 0.3213, 0.6171)  6 Pb 3.28-3.49, 3 Ag 3.31-3.60
Pb (0.1326, 0.8102, 0.9245)  2 Pb 3.18-3.26, 5 Pm 3.20-3.27
Pm (0.2689, 0.2347, 0.2275)  6 Pb 3.27-3.55, 2 Ag 3.38
Pb (0.0088, 0.2131, 0.7694)  1 Ag 2.90, 1 Pb 3.18
Ag (0.2277, 0.9286, 0.6160)  4 Pb 2.84-3.03
Pm (0.4692, 0.6787, 0.3829)  6 Pb 3.28-3.49, 3 Ag 3.31-3.60
Pb (0.8597, 0.7322, 0.5484)  3 Ag 2.84-3.03
Pm (0.4033, 0.2713, 0.9222)  5 Pb 3.20-3.28

Summary:
Its space group is C2/m, No. 12. For the size of the total moment, the calculation gives 0.000 Bohr magnetons per cell.

***

Order of stability, best first: #Q, #P

***

#P
# Pm2AgPb2

A relaxed Pm2AgPb2 crystal (GGA-PBE, the Alexandria database).

Cell: 5.0343 6.6417 8.9404 Å, 90.00 106.35 90.00°
Closest atoms and distances in Å follow each position.
Atoms (fractional coordinates):
Ag (0.5850, 0.4874, 0.1701)  3 Pb 2.92-3.00
Pb (0.1709, 0.4685, 0.3418)  2 Ag 2.92, 2 Pm 3.18
Pb (0.4103, 0.4848, 0.8207)  3 Ag 3.00-3.34, 2 Pm 3.32
Pb (0.8291, 0.9685, 0.6582)  2 Ag 2.92, 2 Pm 3.18
Pm (0.9997, 0.2301, 0.9994)  2 Pm 3.32, 4 Ag 3.32-3.38, 6 Pb 3.34-3.40
Ag (0.4150, 0.9874, 0.8299)  3 Pb 2.92-3.00
Pb (0.5897, 0.9848, 0.1793)  3 Ag 3.00-3.34, 2 Pm 3.32
Pm (0.7845, 0.4636, 0.5690)  6 Pb 3.18-3.44, 1 Ag 3.43
Pm (0.0003, 0.7301, 0.0006)  2 Pm 3.32, 4 Ag 3.32-3.38, 6 Pb 3.34-3.40
Pm (0.2155, 0.9636, 0.4310)  6 Pb 3.18-3.44, 1 Ag 3.43

Summary:
Its space group is Cmc2_1, No. 36. For the size of the total moment, the calculation gives 0.371 Bohr magnetons per cell.

***

#Q
# Pm2AgPb2

A relaxed Pm2AgPb2 crystal (GGA-PBE, the Alexandria database).

Cell: 4.7183 6.3583 10.4778 Å, 90.02 76.99 68.22°
Closest atoms and distances in Å follow each position.
Atoms (fractional coordinates):
Ag (0.3748, 0.9188, 0.3315)  4 Pb 2.84-3.03
Pb (0.3431, 0.2012, 0.1127)  1 Ag 2.91, 1 Pb 3.15, 1 Pm 3.24
Ag (0.6252, 0.0812, 0.6685)  4 Pb 2.84-3.03
Pb (0.0816, 0.2686, 0.5682)  3 Ag 2.84-3.03
Pm (0.0726, 0.7482, 0.1066)  6 Pb 3.24-3.56, 2 Ag 3.38
Pm (0.3236, 0.6822, 0.6705)  6 Pb 3.26-3.49, 3 Ag 3.34-3.55
Pm (0.6764, 0.3178, 0.3295)  6 Pb 3.26-3.49, 3 Ag 3.34-3.55
Pm (0.9274, 0.2518, 0.8934)  6 Pb 3.24-3.56, 2 Ag 3.38
Pb (0.6569, 0.7988, 0.8873)  1 Ag 2.91, 1 Pb 3.15, 1 Pm 3.24
Pb (0.9184, 0.7314, 0.4318)  3 Ag 2.84-3.03

Summary:
Its space group is C2/m, No. 12. For the size of the total moment, the calculation gives 0.001 Bohr magnetons per cell.

***

Order of stability, best first: #Q, #P

***

#P
# AgPt2Pb2

A relaxed AgPt2Pb2 crystal (GGA-PBE, the Alexandria database).

Cell: 7.4721 7.4721 3.8454 Å, 90.00 90.00 90.00°
Closest atoms and distances in Å follow each position.
Atoms (fractional coordinates):
Pb (0.6670, 0.8330, 0.5000)  6 Pt 2.84-2.97
Pb (0.1670, 0.6670, 0.5000)  6 Pt 2.84-2.97
Pt (0.1348, 0.3652, 0.0000)  6 Pb 2.84-2.97, 1 Pt 2.85, 2 Ag 2.91
Pt (0.6348, 0.1348, 0.0000)  6 Pb 2.84-2.97, 1 Pt 2.85, 2 Ag 2.91
Ag (0.5000, 0.5000, 0.0000)  4 Pt 2.91
Pt (0.8652, 0.6348, 0.0000)  6 Pb 2.84-2.97, 1 Pt 2.85, 2 Ag 2.91
Ag (0.0000, 0.0000, 0.0000)  4 Pt 2.91
Pb (0.3330, 0.1670, 0.5000)  6 Pt 2.84-2.97
Pt (0.3652, 0.8652, 0.0000)  6 Pb 2.84-2.97, 1 Pt 2.85, 2 Ag 2.91
Pb (0.8330, 0.3330, 0.5000)  6 Pt 2.84-2.97

Summary:
Its space group is P4/mbm, No. 127. For the size of the total moment, the calculation gives 0.000 Bohr magnetons per cell.

***

#Q
# AgPt2Pb2

A relaxed AgPt2Pb2 crystal (GGA-PBE, the Alexandria database).

Cell: 7.9797 7.9797 3.4168 Å, 90.00 90.00 90.00°
Closest atoms and distances in Å follow each position.
Atoms (fractional coordinates):
Pt (0.6357, 0.8643, 0.5000)  6 Pb 2.87-2.92, 1 Pt 3.06
Ag (0.5000, 0.5000, 0.0000)  4 Pb 3.00
Pb (0.6596, 0.1596, 0.0000)  6 Pt 2.87-2.92, 2 Ag 3.00
Pt (0.3643, 0.1357, 0.5000)  6 Pb 2.87-2.92, 1 Pt 3.06
Pt (0.1357, 0.6357, 0.5000)  6 Pb 2.87-2.92, 1 Pt 3.06
Pb (0.3404, 0.8404, 0.0000)  6 Pt 2.87-2.92, 2 Ag 3.00
Pt (0.8643, 0.3643, 0.5000)  6 Pb 2.87-2.92, 1 Pt 3.06
Ag (0.0000, 0.0000, 0.0000)  4 Pb 3.00
Pb (0.1596, 0.3404, 0.0000)  6 Pt 2.87-2.92, 2 Ag 3.00
Pb (0.8404, 0.6596, 0.0000)  6 Pt 2.87-2.92, 2 Ag 3.00

Summary:
Its space group is P4/mbm, No. 127. For the size of the total moment, the calculation gives 0.000 Bohr magnetons per cell.

***

#R
# AgPt2Pb2

A relaxed AgPt2Pb2 crystal (GGA-PBE, the Alexandria database).

Cell: 3.8921 3.8921 8.2121 Å, 76.29 76.29 90.00°
Closest atoms and distances in Å follow each position.
Atoms (fractional coordinates):
Ag (0.0000, 0.0000, 0.0000)  8 Pb 3.27
Pb (0.6141, 0.6141, 0.7718)  4 Pt 2.87
Pt (0.7500, 0.2500, 0.5000)  4 Pt 2.75, 4 Pb 2.87
Pb (0.3859, 0.3859, 0.2282)  4 Pt 2.87
Pt (0.2500, 0.7500, 0.5000)  4 Pt 2.75, 4 Pb 2.87

Summary:
Its space group is I4/mmm, No. 139. For the size of the total moment, the calculation gives 0.000 Bohr magnetons per cell.

***

#S
# AgPt2Pb2

A relaxed AgPt2Pb2 crystal (GGA-PBE, the Alexandria database).

Cell: 4.6030 4.6030 6.6336 Å, 69.70 69.70 90.00°
Closest atoms and distances in Å follow each position.
Atoms (fractional coordinates):
Pt (0.3890, 0.3890, 0.2221)  1 Pt 2.57, 4 Pb 2.81
Pb (0.7500, 0.2500, 0.5000)  4 Pt 2.81
Ag (0.0000, 0.0000, 0.0000)  8 Pt 3.50, 8 Pb 3.69
Pt (0.6110, 0.6110, 0.7779)  1 Pt 2.57, 4 Pb 2.81
Pb (0.2500, 0.7500, 0.5000)  4 Pt 2.81

Summary:
Its space group is I4/mmm, No. 139. For the size of the total moment, the calculation gives 0.000 Bohr magnetons per cell.

***

Order of stability, best first: #P, #R, #Q, #S